(w)
{"formula": "Er3ThSc6", "functional": "PBE", "state": "optimized geometry", "volume_a3_per_fu": 280, "cell": [[4.611, 2.662, 3.802], [-4.611, 2.662, 3.802], [0.000, -5.324, 3.802]], "species": ["Er", "Er", "Er", "Th", "Sc", "Sc", "Sc", "Sc", "Sc", "Sc"], "frac_coords": [[0.000, 0.000, 0.000], [0.242, 0.242, 0.242], [0.758, 0.758, 0.758], [0.500, 0.500, 0.500], [0.000, 0.665, 0.335], [0.165, 0.500, 0.835], [0.335, 0.000, 0.665], [0.500, 0.835, 0.165], [0.665, 0.335, 0.000], [0.835, 0.165, 0.500]]}

=====

(x)
{"formula": "Er3ThSc6", "functional": "PBE", "state": "optimized geometry", "volume_a3_per_fu": 276, "cell": [[5.279, -8.943, 0.000], [5.279, 8.943, 0.000], [0.000, 0.000, 5.843]], "species": ["Er", "Er", "Er", "Er", "Er", "Er", "Th", "Th", "Sc", "Sc", "Sc", "Sc", "Sc", "Sc", "Sc", "Sc", "Sc", "Sc", "Sc", "Sc"], "frac_coords": [[0.107, 0.893, 0.500], [0.220, 0.434, 0.915], [0.434, 0.220, 0.415], [0.566, 0.780, 0.915], [0.780, 0.566, 0.415], [0.893, 0.107, 0.000], [0.293, 0.707, 0.576], [0.707, 0.293, 0.076], [0.033, 0.462, 0.310], [0.115, 0.216, 0.467], [0.216, 0.115, 0.967], [0.223, 0.777, 0.074], [0.456, 0.544, 0.361], [0.462, 0.033, 0.810], [0.538, 0.967, 0.310], [0.544, 0.456, 0.861], [0.777, 0.223, 0.574], [0.784, 0.885, 0.467], [0.885, 0.784, 0.967], [0.967, 0.538, 0.810]]}

=====

If we sort the structures by their calculated energies, the order from most to least stable is (x), (w).

=====

(w)
{"formula": "ErThSc2", "functional": "PBE", "state": "optimized geometry", "volume_a3_per_fu": 115, "cell": [[6.721, 0.000, 0.000], [0.000, 7.955, 0.000], [-0.064, 0.000, 8.585]], "species": ["Er", "Er", "Er", "Er", "Th", "Th", "Th", "Th", "Sc", "Sc", "Sc", "Sc", "Sc", "Sc", "Sc", "Sc"], "frac_coords": [[0.129, 0.022, 0.320], [0.129, 0.478, 0.820], [0.871, 0.522, 0.180], [0.871, 0.978, 0.680], [0.369, 0.531, 0.175], [0.369, 0.969, 0.675], [0.631, 0.031, 0.325], [0.631, 0.469, 0.825], [0.119, 0.668, 0.492], [0.119, 0.832, 0.992], [0.374, 0.167, 0.004], [0.374, 0.333, 0.504], [0.626, 0.667, 0.496], [0.626, 0.833, 0.996], [0.881, 0.168, 0.008], [0.881, 0.332, 0.508]]}

=====

(x)
{"formula": "ErThSc2", "functional": "PBE", "state": "optimized geometry", "volume_a3_per_fu": 111, "cell": [[4.949, 0.000, 0.000], [0.000, 4.949, 0.000], [0.000, 0.000, 4.543]], "species": ["Er", "Th", "Sc", "Sc"], "frac_coords": [[0.000, 0.000, 0.000], [0.500, 0.500, 0.000], [0.000, 0.500, 0.500], [0.500, 0.000, 0.500]]}

=====

(y)
{"formula": "ErThSc2", "functional": "PBE", "state": "optimized geometry", "volume_a3_per_fu": 112, "cell": [[1.725, 0.996, 10.823], [-1.725, 0.996, 10.823], [0.000, -1.992, 10.823]], "species": ["Er", "Th", "Sc", "Sc"], "frac_coords": [[0.000, 0.000, 0.000], [0.500, 0.500, 0.500], [0.249, 0.249, 0.249], [0.751, 0.751, 0.751]]}

=====

If we sort the structures by their calculated energies, the order from most to least stable is (x), (y), (w).

=====

(w)
{"formula": "ErThSc2", "functional": "PBE", "state": "optimized geometry", "volume_a3_per_fu": 111, "cell": [[3.883, 0.000, 0.000], [0.000, 3.883, 0.000], [0.000, 0.000, 7.388]], "species": ["Er", "Th", "Sc", "Sc"], "frac_coords": [[0.000, 0.000, 0.000], [0.000, 0.000, 0.500], [0.500, 0.500, 0.255], [0.500, 0.500, 0.745]]}

=====

(x)
{"formula": "ErThSc2", "functional": "PBE", "state": "optimized geometry", "volume_a3_per_fu": 112, "cell": [[1.712, 0.989, 11.010], [-1.712, 0.989, 11.010], [0.000, -1.977, 11.010]], "species": ["Er", "Th", "Sc", "Sc"], "frac_coords": [[0.000, 0.000, 0.000], [0.166, 0.166, 0.166], [0.416, 0.416, 0.416], [0.584, 0.584, 0.584]]}

=====

If we sort the structures by their calculated energies, the order from most to least stable is (w), (x).

=====

(w)
{"formula": "Er2ThSc", "functional": "PBE", "state": "optimized geometry", "volume_a3_per_fu": 118, "cell": [[4.859, 0.000, 0.000], [0.000, 4.859, 0.000], [0.000, 0.000, 4.978]], "species": ["Er", "Er", "Th", "Sc"], "frac_coords": [[0.000, 0.500, 0.000], [0.500, 0.000, 0.000], [0.000, 0.000, 0.500], [0.500, 0.500, 0.500]]}

=====

(x)
{"formula": "Er2ThSc", "functional": "PBE", "state": "optimized geometry", "volume_a3_per_fu": 118, "cell": [[3.467, 0.000, 0.000], [0.000, 3.467, 0.000], [0.000, 0.000, 9.856]], "species": ["Er", "Er", "Th", "Sc"], "frac_coords": [[0.000, 0.000, 0.242], [0.000, 0.000, 0.758], [0.500, 0.500, 0.500], [0.500, 0.500, 0.000]]}

=====

(y)
{"formula": "Er2ThSc", "functional": "PBE", "state": "optimized geometry", "volume_a3_per_fu": 118, "cell": [[1.744, 1.007, 11.210], [-1.744, 1.007, 11.210], [0.000, -2.014, 11.210]], "species": ["Er", "Er", "Th", "Sc"], "frac_coords": [[0.000, 0.000, 0.000], [0.174, 0.174, 0.174], [0.421, 0.421, 0.421], [0.586, 0.586, 0.586]]}

=====

If we sort the structures by their calculated energies, the order from most to least stable is (w), (x), (y).

=====

(w)
{"formula": "Er2ThSc", "functional": "PBE", "state": "optimized geometry", "volume_a3_per_fu": 118, "cell": [[1.747, 1.009, 11.197], [-1.747, 1.009, 11.197], [0.000, -2.018, 11.197]], "species": ["Er", "Er", "Th", "Sc"], "frac_coords": [[0.248, 0.248, 0.248], [0.752, 0.752, 0.752], [0.000, 0.000, 0.000], [0.500, 0.500, 0.500]]}

=====

(x)
{"formula": "Er2ThSc", "functional": "PBE", "state": "optimized geometry", "volume_a3_per_fu": 117, "cell": [[5.895, 0.000, 0.000], [0.000, 3.501, 0.000], [-1.854, 0.000, 5.662]], "species": ["Er", "Er", "Th", "Sc"], "frac_coords": [[0.000, 0.000, 0.000], [0.500, 0.500, 0.000], [0.000, 0.500, 0.500], [0.500, 0.000, 0.500]]}

=====

If we sort the structures by their calculated energies, the order from most to least stable is (x), (w).

=====

(w)
{"formula": "Er2Th3Sc2", "functional": "PBE", "state": "optimized geometry", "volume_a3_per_fu": 209, "cell": [[7.057, 0.000, 0.000], [0.000, 6.222, 0.000], [-6.679, 0.000, 9.497]], "species": ["Er", "Er", "Er", "Er", "Th", "Th", "Th", "Th", "Th", "Th", "Sc", "Sc", "Sc", "Sc"], "frac_coords": [[0.132, 0.163, 0.322], [0.132, 0.337, 0.822], [0.868, 0.663, 0.178], [0.868, 0.837, 0.678], [0.000, 0.000, 0.000], [0.000, 0.500, 0.500], [0.346, 0.016, 0.676], [0.346, 0.484, 0.176], [0.654, 0.516, 0.824], [0.654, 0.984, 0.324], [0.373, 0.708, 0.450], [0.373, 0.792, 0.950], [0.627, 0.208, 0.050], [0.627, 0.292, 0.550]]}

=====

(x)
{"formula": "Er2Th3Sc2", "functional": "PBE", "state": "optimized geometry", "volume_a3_per_fu": 207, "cell": [[7.622, -1.761, 0.000], [7.622, 1.761, 0.000], [-3.290, 0.000, 7.727]], "species": ["Er", "Er", "Th", "Th", "Th", "Sc", "Sc"], "frac_coords": [[0.069, 0.069, 0.213], [0.931, 0.931, 0.787], [0.216, 0.216, 0.645], [0.500, 0.500, 0.500], [0.784, 0.784, 0.355], [0.353, 0.353, 0.074], [0.647, 0.647, 0.926]]}

=====

If we sort the structures by their calculated energies, the order from most to least stable is (x), (w).

=====

(w)
{"formula": "Er3Th3Sc5", "functional": "PBE", "state": "optimized geometry", "volume_a3_per_fu": 383, "cell": [[8.995, 0.000, 0.000], [-4.498, 7.790, 0.000], [0.000, 0.000, 5.469]], "species": ["Er", "Er", "Er", "Th", "Th", "Th", "Sc", "Sc", "Sc", "Sc", "Sc"], "frac_coords": [[0.000, 0.485, 0.000], [0.485, 0.000, 0.000], [0.515, 0.515, 0.000], [0.000, 0.253, 0.500], [0.253, 0.000, 0.500], [0.747, 0.747, 0.500], [0.000, 0.623, 0.500], [0.333, 0.667, 0.500], [0.377, 0.377, 0.500], [0.623, 0.000, 0.500], [0.667, 0.333, 0.500]]}

=====

(x)
{"formula": "Er3Th3Sc5", "functional": "PBE", "state": "optimized geometry", "volume_a3_per_fu": 315, "cell": [[6.205, 0.000, 0.000], [-1.149, 6.509, 0.000], [-1.040, -2.681, 7.790]], "species": ["Er", "Er", "Er", "Th", "Th", "Th", "Sc", "Sc", "Sc", "Sc", "Sc"], "frac_coords": [[0.000, 0.000, 0.000], [0.202, 0.174, 0.526], [0.455, 0.919, 0.210], [0.531, 0.174, 0.913], [0.743, 0.369, 0.510], [0.884, 0.630, 0.236], [0.064, 0.457, 0.888], [0.195, 0.722, 0.624], [0.355, 0.448, 0.263], [0.568, 0.630, 0.854], [0.710, 0.885, 0.587]]}

=====

If we sort the structures by their calculated energies, the order from most to least stable is (x), (w).

=====

(w)
{"formula": "ErTh3Sc3", "functional": "PBE", "state": "optimized geometry", "volume_a3_per_fu": 202, "cell": [[4.538, 2.620, 5.650], [-4.538, 2.620, 5.650], [0.000, -5.240, 5.650]], "species": ["Er", "Er", "Th", "Th", "Th", "Th", "Th", "Th", "Sc", "Sc", "Sc", "Sc", "Sc", "Sc"], "frac_coords": [[0.248, 0.248, 0.248], [0.752, 0.752, 0.752], [0.176, 0.613, 0.458], [0.387, 0.542, 0.824], [0.458, 0.176, 0.613], [0.542, 0.824, 0.387], [0.613, 0.458, 0.176], [0.824, 0.387, 0.542], [0.035, 0.318, 0.891], [0.109, 0.965, 0.682], [0.318, 0.891, 0.035], [0.682, 0.109, 0.965], [0.891, 0.035, 0.318], [0.965, 0.682, 0.109]]}

=====

(x)
{"formula": "ErTh3Sc3", "functional": "PBE", "state": "optimized geometry", "volume_a3_per_fu": 204, "cell": [[9.162, 0.000, 0.000], [-4.581, 7.934, 0.000], [0.000, 0.000, 5.599]], "species": ["Er", "Er", "Th", "Th", "Th", "Th", "Th", "Th", "Sc", "Sc", "Sc", "Sc", "Sc", "Sc"], "frac_coords": [[0.333, 0.667, 0.250], [0.667, 0.333, 0.750], [0.099, 0.472, 0.750], [0.373, 0.901, 0.750], [0.472, 0.373, 0.250], [0.528, 0.627, 0.750], [0.627, 0.099, 0.250], [0.901, 0.528, 0.250], [0.040, 0.228, 0.250], [0.189, 0.960, 0.250], [0.228, 0.189, 0.750], [0.772, 0.811, 0.250], [0.811, 0.040, 0.750], [0.960, 0.772, 0.750]]}

=====

If we sort the structures by their calculated energies, the order from most to least stable is (w), (x).